Y3ZrH GGA-PBE relaxed; total energy = -5.122 eV per atom; calculated density = 3.42 Mg/m³; ΔE to the lowest computed polymorph = 1223 meV per atom; crystal system = cubic
1.0
5.5870 0.0000 0.0000
0.0000 5.5870 0.0000
0.0000 0.0000 5.5870
Y Zr H
3 1 1
Cartesian
0.0000 2.7935 0.0000 Y
2.7935 0.0000 0.0000 Y
0.0000 0.0000 2.7935 Y
0.0000 0.0000 0.0000 Zr
2.7935 2.7935 2.7935 H